Material: NaMoNF2
Method: DFT, PBE+U
State: optimized geometry

Output
Calculated total energy in eV/atom: -4.31
Fermi-level density of states in states/eV/f.u.: 0.04
Space group: P4/mmm, No. 123
Energy above the lowest structure with this stoichiometry in meV/atom: 1153
Spin magnetization in μB/cell: 4.0

Geometry as CIF:
```
data_NaMoNF2
_chemical_formula_sum 'Na1 Mo1 N1 F2'
_cell_length_a 3.818
_cell_length_b 3.818
_cell_length_c 4.505
_cell_angle_alpha 90.00
_cell_angle_beta 90.00
_cell_angle_gamma 90.00
_symmetry_space_group_name_H-M 'P 1'
_symmetry_Int_Tables_number 1
_symmetry_space_group_name_Hall 'P 1'
loop_
_atom_site_label
_atom_site_fract_x
_atom_site_fract_y
_atom_site_fract_z
F1 0.500 0.000 0.000
F2 0.000 0.500 0.000
Na1 0.000 0.000 0.000
Mo1 0.500 0.500 0.500
N1 0.000 0.000 0.500
```